[1]
DFT (PBE) results for an optimized crystal structure of PmYTm.

The space group is P2_1/m (No. 11) and the conventional cell measures 3.5192, 5.3467 and 10.4382 Å, with angles of 90.00, 99.63 and 90.00 degrees. Symmetry generates all atoms from Pm at (0.0413, 0.2500, 0.0877), Y at (0.3797, 0.2500, 0.7549) and Tm at (0.2074, 0.2500, 0.4169).

The total energy comes out at -5.1627 eV per atom. For the formation energy, the calculation gives 0.07 eV/atom. The energy above the lowest structure with this stoichiometry is 58 meV per atom.

---

[2]
DFT (PBE) results for an optimized crystal structure of Pm3YTm4.

The space group is Pmn2_1 (No. 31) and the conventional cell measures 11.3327, 7.2813 and 6.2706 Å, with angles of 90.00, 90.00 and 90.00 degrees. Symmetry generates all atoms from Pm at (0.0000, 0.1291, 0.0000), Pm at (0.2492, 0.8723, 0.8351), Y at (0.0000, 0.8705, 0.4974), Tm at (0.0000, 0.3780, 0.4995), Tm at (0.0000, 0.6203, 0.9999) and Tm at (0.2489, 0.6204, 0.3318).

The total energy comes out at -4.8083 eV per atom. For the formation energy, the calculation gives 0.02 eV/atom. The energy above the lowest structure with this stoichiometry is 0 meV per atom.

---

[3]
DFT (PBE) results for an optimized crystal structure of Pm4Y4Tm.

The space group is C2/m (No. 12) and the conventional cell measures 15.2687, 5.0848 and 8.0509 Å, with angles of 90.00, 108.58 and 90.00 degrees. Symmetry generates all atoms from Pm at (0.1655, 0.0000, 0.0009), Pm at (0.2218, 0.5000, 0.3330), Y at (0.0551, 0.0000, 0.3331), Y at (0.1106, 0.5000, 0.6682) and Tm at (0.0000, 0.5000, 0.0000).

The total energy comes out at -5.4621 eV per atom. For the formation energy, the calculation gives 0.02 eV/atom.

---

[4]
DFT (PBE) results for an optimized crystal structure of Pm4Y3Tm.

The space group is C2/m (No. 12) and the conventional cell measures 23.6322, 3.4930 and 6.7983 Å, with angles of 90.00, 106.47 and 90.00 degrees. Symmetry generates all atoms from Pm at (0.1237, 0.0000, 0.3684), Pm at (0.2403, 0.5000, 0.2381), Y at (0.0000, 0.0000, 0.5000), Y at (0.1227, 0.0000, 0.8822) and Tm at (0.0000, 0.5000, 0.0000).

The total energy comes out at -5.1929 eV per atom. For the formation energy, the calculation gives 0.17 eV/atom. The energy above the lowest structure with this stoichiometry is 145 meV per atom.

---

[5]
DFT (PBE) results for an optimized crystal structure of Pm2YTm2.

The space group is R-3m (No. 166, hexagonal axes) and the conventional cell measures 3.5715, 3.5715 and 43.5904 Å, with angles of 90.00, 90.00 and 120.00 degrees. Symmetry generates all atoms from Pm at (0.0000, 0.0000, 0.2013), Y at (0.0000, 0.0000, 0.0000) and Tm at (0.0000, 0.0000, 0.3989).

The total energy comes out at -4.9565 eV per atom. For the formation energy, the calculation gives 0.03 eV/atom. The energy above the lowest structure with this stoichiometry is 0 meV per atom.

---

[6]
DFT (PBE) results for an optimized crystal structure of Pm12Y3Tm.

The space group is P4/mmm (No. 123) and the conventional cell measures 5.1295, 5.1295 and 20.4715 Å, with angles of 90.00, 90.00 and 90.00 degrees. Symmetry generates all atoms from Pm at (0.0000, 0.0000, 0.0000), Pm at (0.0000, 0.0000, 0.2489), Pm at (0.0000, 0.0000, 0.5000), Pm at (0.0000, 0.5000, 0.1237), Pm at (0.0000, 0.5000, 0.3745), Y at (0.5000, 0.5000, 0.2491), Y at (0.5000, 0.5000, 0.5000) and Tm at (0.5000, 0.5000, 0.0000).

The total energy comes out at -5.0401 eV per atom. For the formation energy, the calculation gives 0.01 eV/atom.

---

[7]
DFT (PBE) results for an optimized crystal structure of Pm3YTm2.

The space group is Immm (No. 71) and the conventional cell measures 3.5018, 5.8731 and 19.5858 Å, with angles of 90.00, 90.00 and 90.00 degrees. Symmetry generates all atoms from Pm at (0.0000, 0.0000, 0.0000), Pm at (0.0000, 0.5000, 0.1917), Y at (0.0000, 0.5000, 0.0000) and Tm at (0.0000, 0.5000, 0.3637).

The total energy comes out at -4.5877 eV per atom. For the formation energy, the calculation gives 0.36 eV/atom. The energy above the lowest structure with this stoichiometry is 345 meV per atom.

---

[8]
DFT (PBE) results for an optimized crystal structure of Pm6Y2Tm.

The space group is C2/m (No. 12) and the conventional cell measures 16.4408, 7.0354 and 5.6597 Å, with angles of 90.00, 110.03 and 90.00 degrees. Symmetry generates all atoms from Pm at (0.1104, 0.2283, 0.1111), Pm at (0.2137, 0.0000, 0.7137), Y at (0.1341, 0.5000, 0.6350) and Tm at (0.0000, 0.0000, 0.5000).

The total energy comes out at -4.9436 eV per atom. For the formation energy, the calculation gives 0.16 eV/atom. The energy above the lowest structure with this stoichiometry is 31 meV per atom.

---

[9]
DFT (PBE) results for an optimized crystal structure of Pm2Y7Tm3.

The space group is P2/m (No. 10) and the conventional cell measures 5.7818, 3.5960 and 18.6922 Å, with angles of 90.00, 93.81 and 90.00 degrees. Symmetry generates all atoms from Pm at (0.2027, 0.0000, 0.2952), Y at (0.1757, 0.5000, 0.1422), Y at (0.2414, 0.0000, 0.4627), Y at (0.3203, 0.0000, 0.8216), Y at (0.5000, 0.5000, 0.0000), Tm at (0.0000, 0.0000, 0.0000) and Tm at (0.2815, 0.5000, 0.6310).

The total energy comes out at -5.5899 eV per atom. For the formation energy, the calculation gives 0.09 eV/atom. The energy above the lowest structure with this stoichiometry is 0 meV per atom.

---

[10]
DFT (PBE) results for an optimized crystal structure of Pm6Y8Tm.

The space group is P-3 (No. 147) and the conventional cell measures 9.7416, 9.7416 and 6.1524 Å, with angles of 90.00, 90.00 and 120.00 degrees. Symmetry generates all atoms from Pm at (0.0894, 0.4547, 0.1983), Y at (0.0391, 0.2710, 0.6956), Y at (0.3333, 0.6667, 0.6837) and Tm at (0.0000, 0.0000, 0.0000).

The total energy comes out at -5.4779 eV per atom. For the formation energy, the calculation gives 0.17 eV/atom. The energy above the lowest structure with this stoichiometry is 0 meV per atom.

---

[11]
DFT (PBE) results for an optimized crystal structure of Pm4Y3Tm5.

The space group is C2/m (No. 12) and the conventional cell measures 16.0452, 5.8971 and 9.3904 Å, with angles of 90.00, 117.08 and 90.00 degrees. Symmetry generates all atoms from Pm at (0.0856, 0.0000, 0.4494), Pm at (0.2155, 0.0000, 0.8834), Y at (0.0000, 0.5000, 0.0000), Y at (0.2143, 0.0000, 0.2400), Tm at (0.0000, 0.0000, 0.0000), Tm at (0.0690, 0.5000, 0.7018) and Tm at (0.1705, 0.5000, 0.3806).

The total energy comes out at -4.8238 eV per atom. For the formation energy, the calculation gives 0.24 eV/atom.

---

[12]
DFT (PBE) results for an optimized crystal structure of PmYTm.

The space group is P-6m2 (No. 187) and the conventional cell measures 5.6251, 5.6251 and 3.5138 Å, with angles of 90.00, 90.00 and 120.00 degrees. Symmetry generates all atoms from Pm at (0.0000, 0.0000, 0.0000), Y at (0.6667, 0.3333, 0.5000) and Tm at (0.3333, 0.6667, 0.0000).

The total energy comes out at -5.1613 eV per atom. For the formation energy, the calculation gives 0.07 eV/atom. The energy above the lowest structure with this stoichiometry is 59 meV per atom.

---

[13]
DFT (PBE) results for an optimized crystal structure of Pm3Y2Tm4.

The space group is C2/m (No. 12) and the conventional cell measures 15.0963, 5.0445 and 7.9562 Å, with angles of 90.00, 108.29 and 90.00 degrees. Symmetry generates all atoms from Pm at (0.0000, 0.0000, 0.0000), Pm at (0.1128, 0.0000, 0.6662), Y at (0.0567, 0.5000, 0.3318), Tm at (0.1677, 0.5000, 0.9995) and Tm at (0.2221, 0.0000, 0.3317).

The total energy comes out at -4.9829 eV per atom. For the formation energy, the calculation gives 0.02 eV/atom. The energy above the lowest structure with this stoichiometry is 0 meV per atom.

---

[14]
DFT (PBE) results for an optimized crystal structure of PmY2Tm4.

The space group is P2_1/m (No. 11) and the conventional cell measures 6.0287, 6.5501 and 11.4540 Å, with angles of 90.00, 103.52 and 90.00 degrees. Symmetry generates all atoms from Pm at (0.0456, 0.2500, 0.3640), Y at (0.1619, 0.2500, 0.9485), Y at (0.3962, 0.7500, 0.5119), Tm at (0.1446, 0.2500, 0.6640), Tm at (0.2762, 0.7500, 0.9195) and Tm at (0.3474, 0.5083, 0.2089).

The total energy comes out at -4.9528 eV per atom. For the formation energy, the calculation gives 0.13 eV/atom. The energy above the lowest structure with this stoichiometry is 84 meV per atom.

---

[15]
DFT (PBE) results for an optimized crystal structure of Pm4YTm.

The space group is Cmmm (No. 65) and the conventional cell measures 11.6845, 11.7050 and 3.4695 Å, with angles of 90.00, 90.00 and 90.00 degrees. Symmetry generates all atoms from Pm at (0.0000, 0.2418, 0.0000), Pm at (0.2378, 0.5000, 0.5000), Y at (0.0000, 0.0000, 0.5000) and Tm at (0.0000, 0.5000, 0.0000).

The total energy comes out at -4.3512 eV per atom. For the formation energy, the calculation gives 0.64 eV/atom. The energy above the lowest structure with this stoichiometry is 532 meV per atom.

---

[16]
DFT (PBE) results for an optimized crystal structure of Pm3Y4Tm4.

The space group is P-1 (No. 2) and the conventional cell measures 3.4828, 5.6528 and 18.2301 Å, with angles of 81.08, 84.53 and 90.00 degrees. Symmetry generates all atoms from Pm at (0.0000, 0.0000, 0.0000), Pm at (0.1363, 0.6362, 0.7267), Y at (0.2665, 0.2668, 0.4665), Y at (0.4092, 0.9099, 0.1814), Tm at (0.3191, 0.8189, 0.3627) and Tm at (0.4552, 0.4551, 0.0908).

The total energy comes out at -5.2124 eV per atom. For the formation energy, the calculation gives 0.06 eV/atom. The energy above the lowest structure with this stoichiometry is 0 meV per atom.

---

[17]
DFT (PBE) results for an optimized crystal structure of Pm2YTm5.

The space group is Pbam (No. 55) and the conventional cell measures 7.0787, 14.1586 and 4.9991 Å, with angles of 90.00, 90.00 and 90.00 degrees. Symmetry generates all atoms from Pm at (0.2482, 0.1256, 0.0000), Y at (0.0000, 0.5000, 0.5000), Tm at (0.0000, 0.0000, 0.5000), Tm at (0.0012, 0.7508, 0.5000) and Tm at (0.2496, 0.3744, 0.0000).

The total energy comes out at -4.7649 eV per atom. For the formation energy, the calculation gives 0.03 eV/atom. The energy above the lowest structure with this stoichiometry is 0 meV per atom.

---

[18]
DFT (PBE) results for an optimized crystal structure of Pm8YTm5.

The space group is C2 (No. 5) and the conventional cell measures 13.5907, 10.2532 and 9.6202 Å, with angles of 90.00, 134.87 and 90.00 degrees. Symmetry generates all atoms from Pm at (0.0687, 0.0000, 0.2419), Pm at (0.0909, 0.6568, 0.4156), Pm at (0.1737, 0.3078, 0.1044), Pm at (0.1750, 0.1509, 0.7645), Y at (0.0000, 0.6537, 0.0000), Tm at (0.0000, 0.9037, 0.5000), Tm at (0.1096, 0.3312, 0.4052) and Tm at (0.2042, 0.4773, 0.8141).

The total energy comes out at -4.5216 eV per atom. For the formation energy, the calculation gives 0.25 eV/atom.

---

[19]
DFT (PBE) results for an optimized crystal structure of PmY7Tm12.

The space group is R-3 (No. 148, hexagonal axes) and the conventional cell measures 11.9576, 11.9576 and 15.6748 Å, with angles of 90.00, 90.00 and 120.00 degrees. Symmetry generates all atoms from Pm at (0.0000, 0.0000, 0.0000), Y at (0.0000, 0.0000, 0.5000), Y at (0.0508, 0.4645, 0.5842), Tm at (0.0226, 0.5723, 0.2155) and Tm at (0.0514, 0.8621, 0.2964).

The total energy comes out at -4.9303 eV per atom. For the formation energy, the calculation gives 0.25 eV/atom. The energy above the lowest structure with this stoichiometry is 0 meV per atom.

---

[20]
DFT (PBE) results for an optimized crystal structure of Pm3Y4Tm2.

The space group is C2/m (No. 12) and the conventional cell measures 11.2441, 5.8620 and 9.0863 Å, with angles of 90.00, 100.80 and 90.00 degrees. Symmetry generates all atoms from Pm at (0.0000, 0.0000, 0.0000), Pm at (0.1197, 0.0000, 0.6839), Y at (0.1695, 0.5000, 0.9756), Y at (0.2224, 0.0000, 0.3570) and Tm at (0.0577, 0.5000, 0.3225).

The total energy comes out at -5.3337 eV per atom. For the formation energy, the calculation gives 0.12 eV/atom. The energy above the lowest structure with this stoichiometry is 94 meV per atom.